## P
DFT (GGA-PBE) results for a relaxed structure of TbPm12Y7.

Its theoretical density is 6047 kg/m³. Its space group is R-3, No. 148.

a b c (Å): 8.862 8.862 8.862
angles (deg): 86.49 86.49 86.49
Element x y z (fractional)
Tb 0.000 0.000 0.000
Pm 0.100 0.348 0.420
Pm 0.227 0.753 0.351
Pm 0.247 0.649 0.773
Pm 0.348 0.419 0.100
Pm 0.351 0.227 0.753
Pm 0.419 0.100 0.348
Pm 0.580 0.900 0.652
Pm 0.649 0.773 0.247
Pm 0.652 0.580 0.900
Pm 0.753 0.351 0.227
Pm 0.773 0.247 0.649
Pm 0.900 0.652 0.581
Y 0.005 0.360 0.887
Y 0.113 0.995 0.640
Y 0.360 0.887 0.005
Y 0.500 0.500 0.500
Y 0.640 0.113 0.995
Y 0.887 0.005 0.360
Y 0.995 0.640 0.113

---

## Q
DFT (GGA-PBE) results for a relaxed structure of TbPm12Y7.

Its theoretical density is 6002 kg/m³. Its space group is R-3, No. 148.

a b c (Å): 11.111 11.111 11.111
angles (deg): 115.94 115.94 115.94
Element x y z (fractional)
Tb 0.000 0.000 0.000
Pm 0.068 0.492 0.281
Pm 0.209 0.272 0.749
Pm 0.251 0.791 0.728
Pm 0.272 0.749 0.209
Pm 0.281 0.068 0.492
Pm 0.492 0.281 0.068
Pm 0.508 0.719 0.932
Pm 0.719 0.932 0.508
Pm 0.728 0.251 0.791
Pm 0.749 0.209 0.272
Pm 0.791 0.728 0.251
Pm 0.932 0.508 0.719
Y 0.077 0.220 0.381
Y 0.220 0.381 0.077
Y 0.381 0.077 0.220
Y 0.500 0.500 0.500
Y 0.619 0.923 0.780
Y 0.780 0.619 0.923
Y 0.923 0.780 0.619

---

Which one sits at the bottom of the stability order? Q does.

---

## P
DFT (GGA-PBE) results for a relaxed structure of Tb2PmY3.

Its theoretical density is 6230 kg/m³. Its space group is C2/c, No. 15.

a b c (Å): 6.669 6.669 8.984
angles (deg): 98.23 98.23 95.05
Element x y z (fractional)
Tb 0.124 0.627 0.875
Tb 0.373 0.876 0.625
Tb 0.627 0.124 0.375
Tb 0.876 0.373 0.125
Pm 0.405 0.595 0.250
Pm 0.595 0.405 0.750
Y 0.075 0.925 0.250
Y 0.175 0.340 0.506
Y 0.340 0.175 0.006
Y 0.660 0.825 0.994
Y 0.825 0.660 0.494
Y 0.925 0.075 0.750

---

## Q
DFT (GGA-PBE) results for a relaxed structure of Tb2PmY3.

Its theoretical density is 6087 kg/m³. Its space group is C2/m, No. 12.

a b c (Å): 9.098 9.098 14.267
angles (deg): 116.83 116.83 22.31
Element x y z (fractional)
Tb 0.157 0.157 0.468
Tb 0.318 0.318 0.116
Tb 0.682 0.682 0.884
Tb 0.843 0.843 0.532
Pm 0.062 0.062 0.645
Pm 0.938 0.938 0.355
Y 0.100 0.100 0.026
Y 0.239 0.239 0.294
Y 0.461 0.461 0.788
Y 0.539 0.539 0.212
Y 0.761 0.761 0.706
Y 0.900 0.900 0.974

---

Which one sits at the bottom of the stability order? Q does.

---

## P
DFT (GGA-PBE) results for a relaxed structure of TbPm6Y8.

Its theoretical density is 5722 kg/m³. Its space group is R-3, No. 148.

a b c (Å): 8.753 8.753 8.753
angles (deg): 62.92 62.92 62.92
Element x y z (fractional)
Tb 0.000 0.000 0.000
Pm 0.105 0.539 0.228
Pm 0.228 0.105 0.539
Pm 0.461 0.772 0.895
Pm 0.539 0.228 0.105
Pm 0.772 0.895 0.461
Pm 0.895 0.461 0.772
Y 0.111 0.718 0.749
Y 0.251 0.889 0.282
Y 0.282 0.251 0.889
Y 0.423 0.423 0.423
Y 0.577 0.577 0.577
Y 0.718 0.749 0.111
Y 0.749 0.111 0.718
Y 0.889 0.282 0.251

---

## Q
DFT (GGA-PBE) results for a relaxed structure of TbPm6Y8.

Its theoretical density is 5807 kg/m³. Its space group is R-3, No. 148.

a b c (Å): 8.241 8.241 8.241
angles (deg): 72.84 72.84 72.84
Element x y z (fractional)
Tb 0.000 0.000 0.000
Pm 0.080 0.609 0.281
Pm 0.281 0.080 0.609
Pm 0.391 0.719 0.920
Pm 0.609 0.281 0.080
Pm 0.719 0.920 0.391
Pm 0.920 0.391 0.719
Y 0.076 0.770 0.644
Y 0.230 0.356 0.924
Y 0.356 0.924 0.230
Y 0.416 0.416 0.416
Y 0.584 0.584 0.584
Y 0.644 0.076 0.770
Y 0.770 0.644 0.076
Y 0.924 0.230 0.356

---

Which one sits at the bottom of the stability order? Q does.

---

## P
DFT (GGA-PBE) results for a relaxed structure of Tb2Pm2Y.

Its theoretical density is 6938 kg/m³. Its space group is C2/c, No. 15.

a b c (Å): 8.675 8.675 6.838
angles (deg): 101.13 101.13 41.48
Element x y z (fractional)
Tb 0.019 0.171 0.146
Tb 0.171 0.019 0.646
Tb 0.829 0.981 0.354
Tb 0.981 0.829 0.854
Pm 0.253 0.354 0.423
Pm 0.354 0.253 0.923
Pm 0.646 0.747 0.077
Pm 0.747 0.646 0.577
Y 0.428 0.572 0.250
Y 0.572 0.428 0.750

---

## Q
DFT (GGA-PBE) results for a relaxed structure of Tb2Pm2Y.

Its theoretical density is 6911 kg/m³. Its space group is P4/mbm, No. 127.

a b c (Å): 9.490 9.490 3.717
angles (deg): 90.00 90.00 90.00
Element x y z (fractional)
Tb 0.126 0.374 0.000
Tb 0.374 0.874 0.000
Tb 0.626 0.126 0.000
Tb 0.874 0.626 0.000
Pm 0.173 0.673 0.500
Pm 0.327 0.173 0.500
Pm 0.673 0.827 0.500
Pm 0.827 0.327 0.500
Y 0.000 0.000 0.000
Y 0.500 0.500 0.000

---

Which one sits at the bottom of the stability order? Q does.

---

## P
DFT (GGA-PBE) results for a relaxed structure of Tb2Pm2Zn.

Its theoretical density is 6924 kg/m³. Its space group is I4/mmm, No. 139.

a b c (Å): 9.482 9.482 9.482
angles (deg): 154.18 154.18 36.83
Element x y z (fractional)
Tb 0.085 0.085 0.000
Tb 0.915 0.915 0.000
Pm 0.250 0.750 0.500
Pm 0.750 0.250 0.500
Zn 0.500 0.500 0.000

---

## Q
DFT (GGA-PBE) results for a relaxed structure of Tb2Pm2Zn.

Its theoretical density is 7604 kg/m³. Its space group is I4/mmm, No. 139.

a b c (Å): 11.597 11.597 11.597
angles (deg): 162.12 162.12 25.39
Element x y z (fractional)
Tb 0.078 0.078 0.000
Tb 0.922 0.922 0.000
Pm 0.307 0.307 0.000
Pm 0.693 0.693 0.000
Zn 0.500 0.500 0.000

---

Which one sits at the bottom of the stability order? P does.

---

## P
DFT (GGA-PBE) results for a relaxed structure of TbPm3Zn.

Its theoretical density is 6787 kg/m³. Its space group is C2/m, No. 12.

a b c (Å): 7.483 7.483 7.908
angles (deg): 121.39 121.39 73.75
Element x y z (fractional)
Tb 0.066 0.066 0.267
Tb 0.934 0.934 0.733
Pm 0.031 0.415 0.753
Pm 0.415 0.031 0.753
Pm 0.447 0.447 0.677
Pm 0.553 0.553 0.323
Pm 0.585 0.969 0.247
Pm 0.969 0.585 0.247
Zn 0.242 0.242 0.113
Zn 0.758 0.758 0.887

---

## Q
DFT (GGA-PBE) results for a relaxed structure of TbPm3Zn.

Its theoretical density is 7268 kg/m³. Its space group is C2/m, No. 12.

a b c (Å): 6.602 6.602 12.859
angles (deg): 90.16 90.16 32.52
Element x y z (fractional)
Tb 0.213 0.213 0.234
Tb 0.787 0.787 0.766
Pm 0.052 0.052 0.693
Pm 0.134 0.134 0.958
Pm 0.367 0.367 0.539
Pm 0.633 0.633 0.461
Pm 0.866 0.866 0.042
Pm 0.948 0.948 0.307
Zn 0.452 0.452 0.864
Zn 0.548 0.548 0.136

---

Which one sits at the bottom of the stability order? P does.

---

## P
DFT (GGA-PBE) results for a relaxed structure of TbPm4Zn.

Its theoretical density is 6460 kg/m³. Its space group is Pm, No. 6.

a b c (Å): 5.209 5.206 7.625
angles (deg): 90.00 90.05 90.00
Element x y z (fractional)
Tb 0.000 0.000 0.000
Pm 0.000 0.500 0.272
Pm 0.000 0.500 0.729
Pm 0.500 0.000 0.271
Pm 0.500 0.000 0.728
Zn 0.501 0.500 0.500

---

## Q
DFT (GGA-PBE) results for a relaxed structure of TbPm4Zn.

Its theoretical density is 7234 kg/m³. Its space group is P4/mmm, No. 123.

a b c (Å): 3.642 3.642 13.917
angles (deg): 90.00 90.00 90.00
Element x y z (fractional)
Tb 0.000 0.000 0.000
Pm 0.000 0.000 0.369
Pm 0.000 0.000 0.631
Pm 0.500 0.500 0.181
Pm 0.500 0.500 0.819
Zn 0.500 0.500 0.500

---

Which one sits at the bottom of the stability order? P does.

---

## P
DFT (GGA-PBE) results for a relaxed structure of TbPm2Zn2.

Its theoretical density is 7438 kg/m³. Its space group is P2_1/m, No. 11.

a b c (Å): 3.676 5.202 13.663
angles (deg): 90.00 97.76 90.00
Element x y z (fractional)
Tb 0.143 0.250 0.285
Tb 0.857 0.750 0.715
Pm 0.046 0.750 0.091
Pm 0.231 0.750 0.464
Pm 0.769 0.250 0.536
Pm 0.954 0.250 0.909
Zn 0.361 0.250 0.723
Zn 0.448 0.750 0.896
Zn 0.552 0.250 0.104
Zn 0.639 0.750 0.277

---

## Q
DFT (GGA-PBE) results for a relaxed structure of TbPm2Zn2.

Its theoretical density is 7215 kg/m³. Its space group is P2_1/m, No. 11.

a b c (Å): 4.567 4.412 13.431
angles (deg): 90.00 99.60 90.00
Element x y z (fractional)
Tb 0.134 0.250 0.271
Tb 0.866 0.750 0.729
Pm 0.236 0.750 0.472
Pm 0.446 0.250 0.889
Pm 0.554 0.750 0.111
Pm 0.764 0.250 0.528
Zn 0.026 0.250 0.050
Zn 0.332 0.250 0.666
Zn 0.668 0.750 0.334
Zn 0.974 0.750 0.950

---

Which one sits at the bottom of the stability order? Q does.

---

## P
DFT (GGA-PBE) results for a relaxed structure of TbPm2Zr.

Its theoretical density is 7400 kg/m³. Its space group is R3m, No. 160.

a b c (Å): 11.583 11.583 11.583
angles (deg): 17.39 17.39 17.39
Element x y z (fractional)
Tb 0.000 0.000 0.000
Pm 0.579 0.579 0.579
Pm 0.756 0.756 0.756
Zr 0.168 0.168 0.168

---

## Q
DFT (GGA-PBE) results for a relaxed structure of TbPm2Zr.

Its theoretical density is 7342 kg/m³. Its space group is R-3m, No. 166.

a b c (Å): 12.291 12.291 12.291
angles (deg): 15.95 15.95 15.95
Element x y z (fractional)
Tb 0.000 0.000 0.000
Pm 0.414 0.414 0.414
Pm 0.586 0.586 0.586
Zr 0.500 0.500 0.500

---

Which one sits at the bottom of the stability order? Q does.

---

## P
DFT (GGA-PBE) results for a relaxed structure of TbPm2Zr.

Its theoretical density is 7395 kg/m³. Its space group is P4/mmm, No. 123.

a b c (Å): 4.071 4.071 7.320
angles (deg): 90.00 90.00 90.00
Element x y z (fractional)
Tb 0.000 0.000 0.000
Pm 0.500 0.500 0.275
Pm 0.500 0.500 0.725
Zr 0.000 0.000 0.500

---

## Q
DFT (GGA-PBE) results for a relaxed structure of TbPm2Zr.

Its theoretical density is 7420 kg/m³. Its space group is Fm-3m, No. 225.

a b c (Å): 5.550 5.550 5.550
angles (deg): 60.00 60.00 60.00
Element x y z (fractional)
Tb 0.000 0.000 0.000
Pm 0.250 0.250 0.250
Pm 0.750 0.750 0.750
Zr 0.500 0.500 0.500

---

## R
DFT (GGA-PBE) results for a relaxed structure of TbPm2Zr.

Its theoretical density is 7446 kg/m³. Its space group is P4/mmm, No. 123.

a b c (Å): 4.953 4.953 4.910
angles (deg): 90.00 90.00 90.00
Element x y z (fractional)
Tb 0.000 0.000 0.000
Pm 0.000 0.500 0.500
Pm 0.500 0.000 0.500
Zr 0.500 0.500 0.000

---

Which one sits at the bottom of the stability order? Q does.